(1)
# Th3AlCo (PBE, relaxed)
# Mass density (Mg/m³): 9.63
data_Th3AlCo
_cell_length_a 9.662
_cell_length_b 6.546
_cell_length_c 9.273
_cell_angle_alpha 90.00
_cell_angle_beta 113.16
_cell_angle_gamma 90.00
_symmetry_space_group_name_H-M 'P 1 21/c 1'
_symmetry_Int_Tables_number 14
_symmetry_space_group_name_Hall '-P 2ybc'
loop_
_atom_site_label
_atom_site_fract_x
_atom_site_fract_y
_atom_site_fract_z
Th1 0.089 0.084 0.367
Th2 0.203 0.594 0.554
Th3 0.399 0.089 0.775
Al1 0.404 0.645 0.926
Co1 0.100 0.228 0.629



(2)
# ThAlCo (PBE, relaxed)
# Mass density (Mg/m³): 8.69
data_ThAlCo
_cell_length_a 4.3068
_cell_length_b 4.3068
_cell_length_c 3.7842
_cell_angle_alpha 90.00
_cell_angle_beta 90.00
_cell_angle_gamma 120.00
_symmetry_space_group_name_H-M 'P -6 m 2'
_symmetry_Int_Tables_number 187
_symmetry_space_group_name_Hall 'P -6 2'
loop_
_atom_site_label
_atom_site_fract_x
_atom_site_fract_y
_atom_site_fract_z
Th1 0.0000 0.0000 0.0000
Al1 0.6667 0.3333 0.5000
Co1 0.3333 0.6667 0.5000



(3)
# Th3AlCo3 (PBE, relaxed)
# Excess energy over the best structure of this formula in the dataset (eV per formula unit): 1.491
# Mass density (Mg/m³): 10.29
data_Th3AlCo3
_cell_length_a 9.6636
_cell_length_b 9.6636
_cell_length_c 5.3851
_cell_angle_alpha 90.00
_cell_angle_beta 90.00
_cell_angle_gamma 120.00
_symmetry_space_group_name_H-M 'R 3 m'
_symmetry_Int_Tables_number 160
_symmetry_space_group_name_Hall 'R 3 -2"'
loop_
_atom_site_label
_atom_site_fract_x
_atom_site_fract_y
_atom_site_fract_z
Th1 0.0620 0.5310 0.0000
Al1 0.0000 0.0000 0.8273
Co1 0.0340 0.5170 0.5046



(4)
# ThAl9Co2 (PBE, relaxed)
# Excess energy over the best structure of this formula in the dataset (eV per formula unit): 0.000
# Mass density (Mg/m³): 5.14
data_ThAl9Co2
_cell_length_a 10.507
_cell_length_b 10.507
_cell_length_c 6.944
_cell_angle_alpha 90.00
_cell_angle_beta 90.00
_cell_angle_gamma 90.00
_symmetry_space_group_name_H-M 'I 41/a m d'
_symmetry_Int_Tables_number 141
loop_
_symmetry_equiv_pos_as_xyz
'x,y,z'
'-x,-y,-z'
'-y+1/4,x+3/4,z+1/4'
'y+1/4,-x+3/4,-z+1/4'
'-x+1/2,-y,z+1/2'
'x+1/2,y,-z+1/2'
'y+1/4,-x+1/4,z+3/4'
'-y+1/4,x+1/4,-z+3/4'
'x,-y,-z'
'-x,y,z'
'-y+1/4,-x+1/4,-z+3/4'
'y+1/4,x+1/4,z+3/4'
'-x+1/2,y,-z+1/2'
'x+1/2,-y,z+1/2'
'y+1/4,x+3/4,-z+1/4'
'-y+1/4,-x+3/4,z+1/4'
'x+1/2,y+1/2,z+1/2'
'-x+1/2,-y+1/2,-z+1/2'
'-y+3/4,x+1/4,z+3/4'
'y+3/4,-x+1/4,-z+3/4'
'-x,-y+1/2,z'
'x,y+1/2,-z'
'y+3/4,-x+3/4,z+1/4'
'-y+3/4,x+3/4,-z+1/4'
'x+1/2,-y+1/2,-z+1/2'
'-x+1/2,y+1/2,z+1/2'
'-y+3/4,-x+3/4,-z+1/4'
'y+3/4,x+3/4,z+1/4'
'-x,y+1/2,-z'
'x,-y+1/2,z'
'y+3/4,x+1/4,-z+3/4'
'-y+3/4,-x+1/4,z+3/4'
loop_
_atom_site_label
_atom_site_fract_x
_atom_site_fract_y
_atom_site_fract_z
Th1 0.000 0.250 0.375
Al1 0.000 0.250 0.875
Al2 0.122 0.051 0.691
Co1 0.000 0.000 0.000



(5)
# Th7Al2Co2 (PBE, relaxed)
# Mass density (Mg/m³): 9.87
data_Th7Al2Co2
_cell_length_a 7.889
_cell_length_b 11.233
_cell_length_c 6.821
_cell_angle_alpha 90.00
_cell_angle_beta 90.00
_cell_angle_gamma 90.00
_symmetry_space_group_name_H-M 'C m m m'
_symmetry_Int_Tables_number 65
_symmetry_space_group_name_Hall '-C 2 2'
loop_
_atom_site_label
_atom_site_fract_x
_atom_site_fract_y
_atom_site_fract_z
Th1 0.000 0.000 0.000
Th2 0.000 0.500 0.242
Th3 0.250 0.250 0.261
Al1 0.165 0.000 0.500
Co1 0.000 0.269 0.000



(6)
# ThAlCo (PBE, relaxed)
# Mass density (Mg/m³): 8.40
data_ThAlCo
_cell_length_a 8.022
_cell_length_b 7.378
_cell_length_c 8.500
_cell_angle_alpha 90.00
_cell_angle_beta 90.00
_cell_angle_gamma 90.00
_symmetry_space_group_name_H-M 'C m c e'
_symmetry_Int_Tables_number 64
_symmetry_space_group_name_Hall '-C 2ac 2'
loop_
_atom_site_label
_atom_site_fract_x
_atom_site_fract_y
_atom_site_fract_z
Th1 0.203 0.000 0.000
Al1 0.000 0.167 0.302
Co1 0.000 0.147 0.583



(7)
# Th2AlCo2 (PBE, relaxed)
# Mass density (Mg/m³): 10.18
data_Th2AlCo2
_cell_length_a 5.592
_cell_length_b 14.366
_cell_length_c 4.948
_cell_angle_alpha 90.00
_cell_angle_beta 90.00
_cell_angle_gamma 90.00
_symmetry_space_group_name_H-M 'C m c m'
_symmetry_Int_Tables_number 63
_symmetry_space_group_name_Hall '-C 2c 2'
loop_
_atom_site_label
_atom_site_fract_x
_atom_site_fract_y
_atom_site_fract_z
Th1 0.000 0.081 0.250
Th2 0.000 0.280 0.750
Al1 0.000 0.500 0.000
Co1 0.245 0.379 0.250



(8)
# Th2AlZnCo (PBE, relaxed)
# Mass density (Mg/m³): 9.39
data_Th2AlZnCo
_cell_length_a 7.298
_cell_length_b 4.193
_cell_length_c 7.559
_cell_angle_alpha 90.00
_cell_angle_beta 109.88
_cell_angle_gamma 90.00
_symmetry_space_group_name_H-M 'P 1 21/m 1'
_symmetry_Int_Tables_number 11
_symmetry_space_group_name_Hall '-P 2yb'
loop_
_atom_site_label
_atom_site_fract_x
_atom_site_fract_y
_atom_site_fract_z
Th1 0.035 0.250 0.214
Th2 0.349 0.750 0.605
Al1 0.343 0.250 0.944
Zn1 0.335 0.750 0.158
Co1 0.097 0.250 0.614



(9)
# Ti5AlCo (PBE, relaxed)
# Mass density (Mg/m³): 4.81
data_Ti5AlCo
_cell_length_a 6.988
_cell_length_b 6.796
_cell_length_c 9.769
_cell_angle_alpha 90.00
_cell_angle_beta 104.55
_cell_angle_gamma 90.00
_symmetry_space_group_name_H-M 'C 1 2/c 1'
_symmetry_Int_Tables_number 15
_symmetry_space_group_name_Hall '-C 2yc'
loop_
_atom_site_label
_atom_site_fract_x
_atom_site_fract_y
_atom_site_fract_z
Ti1 0.000 0.021 0.250
Ti2 0.139 0.359 0.068
Ti3 0.235 0.322 0.375
Al1 0.000 0.377 0.750
Co1 0.000 0.000 0.000



(10)
# Ti2Al3Co4 (PBE, relaxed)
# Mass density (Mg/m³): 5.98
data_Ti2Al3Co4
_cell_length_a 7.144
_cell_length_b 4.121
_cell_length_c 7.780
_cell_angle_alpha 90.00
_cell_angle_beta 90.07
_cell_angle_gamma 90.00
_symmetry_space_group_name_H-M 'C 1 2/m 1'
_symmetry_Int_Tables_number 12
_symmetry_space_group_name_Hall '-C 2y'
loop_
_atom_site_label
_atom_site_fract_x
_atom_site_fract_y
_atom_site_fract_z
Ti1 0.167 0.000 0.213
Al1 0.000 0.500 0.000
Al2 0.166 0.000 0.577
Co1 0.001 0.500 0.329
Co2 0.167 0.000 0.893



(11)
# TiAl3Co (PBE, relaxed)
# Excess energy over the best structure of this formula in the dataset (eV per formula unit): 0.465
# Mass density (Mg/m³): 4.05
data_TiAl3Co
_cell_length_a 3.965
_cell_length_b 6.213
_cell_length_c 6.243
_cell_angle_alpha 90.00
_cell_angle_beta 90.00
_cell_angle_gamma 90.00
_symmetry_space_group_name_H-M 'P m m n'
_symmetry_Int_Tables_number 59
loop_
_symmetry_equiv_pos_as_xyz
'x,y,z'
'-x,-y,-z'
'-x+1/2,-y+1/2,z'
'x+1/2,y+1/2,-z'
'x+1/2,-y,-z'
'-x+1/2,y,z'
'-x,y+1/2,-z'
'x,-y+1/2,z'
loop_
_atom_site_label
_atom_site_fract_x
_atom_site_fract_y
_atom_site_fract_z
Ti1 0.250 0.250 0.217
Al1 0.250 0.043 0.812
Al2 0.250 0.750 0.453
Co1 0.250 0.750 0.076



(12)
# TiAl3Co2 (PBE, relaxed)
# Mass density (Mg/m³): 5.21
data_TiAl3Co2
_cell_length_a 2.836
_cell_length_b 2.836
_cell_length_c 9.778
_cell_angle_alpha 90.00
_cell_angle_beta 90.00
_cell_angle_gamma 90.00
_symmetry_space_group_name_H-M 'P 4/m m m'
_symmetry_Int_Tables_number 123
_symmetry_space_group_name_Hall '-P 4 2'
loop_
_atom_site_label
_atom_site_fract_x
_atom_site_fract_y
_atom_site_fract_z
Ti1 0.000 0.000 0.000
Al1 0.500 0.500 0.205
Al2 0.500 0.500 0.500
Co1 0.000 0.000 0.352



(13)
# Ti4Al2Co (PBE, relaxed)
# Mass density (Mg/m³): 3.87
data_Ti4Al2Co
_cell_length_a 4.316
_cell_length_b 4.316
_cell_length_c 14.030
_cell_angle_alpha 90.00
_cell_angle_beta 90.00
_cell_angle_gamma 90.00
_symmetry_space_group_name_H-M 'I 4/m m m'
_symmetry_Int_Tables_number 139
_symmetry_space_group_name_Hall '-I 4 2'
loop_
_atom_site_label
_atom_site_fract_x
_atom_site_fract_y
_atom_site_fract_z
Ti1 0.000 0.000 0.174
Ti2 0.000 0.500 0.000
Al1 0.000 0.000 0.366
Co1 0.000 0.000 0.000



(14)
# Ti5AlCo4 (PBE, relaxed)
# Mass density (Mg/m³): 6.04
data_Ti5AlCo4
_cell_length_a 2.921
_cell_length_b 2.921
_cell_length_c 16.184
_cell_angle_alpha 90.00
_cell_angle_beta 90.00
_cell_angle_gamma 90.00
_symmetry_space_group_name_H-M 'P 4/m m m'
_symmetry_Int_Tables_number 123
_symmetry_space_group_name_Hall '-P 4 2'
loop_
_atom_site_label
_atom_site_fract_x
_atom_site_fract_y
_atom_site_fract_z
Ti1 0.000 0.000 0.000
Ti2 0.000 0.000 0.188
Ti3 0.000 0.000 0.379
Al1 0.500 0.500 0.500
Co1 0.500 0.500 0.094
Co2 0.500 0.500 0.279



(15)
# Ti6AlCo (PBE, relaxed)
# Mass density (Mg/m³): 4.56
data_Ti6AlCo
_cell_length_a 8.8254
_cell_length_b 8.8254
_cell_length_c 6.0445
_cell_angle_alpha 90.00
_cell_angle_beta 90.00
_cell_angle_gamma 120.00
_symmetry_space_group_name_H-M 'R -3 m'
_symmetry_Int_Tables_number 166
_symmetry_space_group_name_Hall '-R 3 2"'
loop_
_atom_site_label
_atom_site_fract_x
_atom_site_fract_y
_atom_site_fract_z
Ti1 0.0434 0.5217 0.2983
Al1 0.0000 0.0000 0.0000
Co1 0.0000 0.0000 0.5000



(16)
# TiAl4Co5 (PBE, relaxed)
# Mass density (Mg/m³): 6.26
data_TiAl4Co5
_cell_length_a 2.901
_cell_length_b 2.901
_cell_length_c 14.202
_cell_angle_alpha 90.00
_cell_angle_beta 90.00
_cell_angle_gamma 90.00
_symmetry_space_group_name_H-M 'P 4/m m m'
_symmetry_Int_Tables_number 123
_symmetry_space_group_name_Hall '-P 4 2'
loop_
_atom_site_label
_atom_site_fract_x
_atom_site_fract_y
_atom_site_fract_z
Ti1 0.000 0.000 0.000
Al1 0.000 0.000 0.204
Al2 0.000 0.000 0.401
Co1 0.500 0.500 0.100
Co2 0.500 0.500 0.302
Co3 0.500 0.500 0.500



(17)
# TiAl2Co3 (PBE, relaxed)
# Excess energy over the best structure of this formula in the dataset (eV per formula unit): 0.000
# Mass density (Mg/m³): 6.35
data_TiAl2Co3
_cell_length_a 4.108
_cell_length_b 12.328
_cell_length_c 5.758
_cell_angle_alpha 90.00
_cell_angle_beta 90.00
_cell_angle_gamma 90.00
_symmetry_space_group_name_H-M 'C m m m'
_symmetry_Int_Tables_number 65
_symmetry_space_group_name_Hall '-C 2 2'
loop_
_atom_site_label
_atom_site_fract_x
_atom_site_fract_y
_atom_site_fract_z
Ti1 0.000 0.162 0.000
Al1 0.000 0.168 0.500
Al2 0.000 0.500 0.000
Al3 0.000 0.500 0.500
Co1 0.000 0.000 0.255
Co2 0.000 0.333 0.249



(18)
# Ti2Al2Co3 (PBE, relaxed)
# Mass density (Mg/m³): 5.68
data_Ti2Al2Co3
_cell_length_a 7.173
_cell_length_b 4.141
_cell_length_c 6.856
_cell_angle_alpha 90.00
_cell_angle_beta 110.34
_cell_angle_gamma 90.00
_symmetry_space_group_name_H-M 'C 1 2/m 1'
_symmetry_Int_Tables_number 12
_symmetry_space_group_name_Hall '-C 2y'
loop_
_atom_site_label
_atom_site_fract_x
_atom_site_fract_y
_atom_site_fract_z
Ti1 0.116 0.000 0.348
Al1 0.130 0.500 0.892
Co1 0.000 0.500 0.500
Co2 0.243 0.000 0.729



(19)
# TiAlCo (PBE, relaxed)
# Mass density (Mg/m³): 5.39
data_TiAlCo
_cell_length_a 4.1492
_cell_length_b 4.1492
_cell_length_c 2.7645
_cell_angle_alpha 90.00
_cell_angle_beta 90.00
_cell_angle_gamma 120.00
_symmetry_space_group_name_H-M 'P 3 m 1'
_symmetry_Int_Tables_number 156
_symmetry_space_group_name_Hall 'P 3 -2"'
loop_
_atom_site_label
_atom_site_fract_x
_atom_site_fract_y
_atom_site_fract_z
Ti1 0.0000 0.0000 0.0000
Al1 0.6667 0.3333 0.4683
Co1 0.3333 0.6667 0.6869



(20)
# TiAlCo2 (PBE, relaxed)
# Mass density (Mg/m³): 6.44
data_TiAlCo2
_cell_length_a 2.953
_cell_length_b 2.953
_cell_length_c 5.695
_cell_angle_alpha 90.00
_cell_angle_beta 90.00
_cell_angle_gamma 90.00
_symmetry_space_group_name_H-M 'P 4/m m m'
_symmetry_Int_Tables_number 123
_symmetry_space_group_name_Hall '-P 4 2'
loop_
_atom_site_label
_atom_site_fract_x
_atom_site_fract_y
_atom_site_fract_z
Ti1 0.000 0.000 0.000
Al1 0.000 0.000 0.500
Co1 0.500 0.500 0.249



(21)
# TiAl2Co (PBE, relaxed)
# Mass density (Mg/m³): 4.29
data_TiAl2Co
_cell_length_a 3.663
_cell_length_b 3.663
_cell_length_c 18.546
_cell_angle_alpha 90.00
_cell_angle_beta 90.00
_cell_angle_gamma 90.00
_symmetry_space_group_name_H-M 'I -4 2 d'
_symmetry_Int_Tables_number 122
_symmetry_space_group_name_Hall 'I -4 2bw'
loop_
_atom_site_label
_atom_site_fract_x
_atom_site_fract_y
_atom_site_fract_z
Ti1 0.000 0.000 0.000
Al1 0.244 0.250 0.625
Co1 0.000 0.000 0.500



(22)
# Ti3AlCo4 (PBE, relaxed)
# Mass density (Mg/m³): 6.57
data_Ti3AlCo4
_cell_length_a 4.192
_cell_length_b 4.192
_cell_length_c 5.842
_cell_angle_alpha 90.00
_cell_angle_beta 90.00
_cell_angle_gamma 90.00
_symmetry_space_group_name_H-M 'P 4/m m m'
_symmetry_Int_Tables_number 123
_symmetry_space_group_name_Hall '-P 4 2'
loop_
_atom_site_label
_atom_site_fract_x
_atom_site_fract_y
_atom_site_fract_z
Ti1 0.000 0.000 0.000
Ti2 0.000 0.000 0.500
Ti3 0.500 0.500 0.000
Al1 0.500 0.500 0.500
Co1 0.000 0.500 0.247



no.,E_form (eV per atom)
1,-0.17
2,-0.30
3,-0.16
4,-0.37
5,-0.07
6,-0.31
7,-0.29
8,-0.35
9,-0.11
10,-0.52
11,-0.26
12,-0.53
13,0.21
14,-0.38
15,0.09
16,-0.57
17,-0.58
18,-0.49
19,-0.38
20,-0.54
21,0.10
22,-0.48